An optimized crystal structure of NdEr5TlIn2. Source: Alexandria, functional PBE-GGA.

Cell and atoms, written as POSCAR:
```
NdEr5TlIn2
1.0
-4.261 4.261 7.082
4.261 -4.261 7.082
4.261 4.261 -7.082
Nd Er Tl In
2 10 2 4
Cartesian
4.261 0.000 3.541
0.000 4.261 3.541
0.000 0.000 0.000
6.037 1.775 -1.891
1.775 2.486 -1.891
6.037 1.775 1.891
1.775 2.486 1.891
0.000 0.000 7.082
2.486 1.775 5.191
-1.775 2.486 5.191
2.486 1.775 8.974
-1.775 2.486 8.974
0.000 0.000 3.541
0.000 0.000 10.623
3.315 0.946 0.000
3.315 -0.946 7.082
0.946 5.208 0.000
0.946 3.315 7.082
```

Properties
Total magnetic moment, μB per atom: 0.001
Energy relative to the elements, eV per atom: -0.037
Crystal system: tetragonal
Symmetry: I4/mcm

An optimized crystal structure of NdErTlIn. Source: Alexandria, functional PBE-GGA.

Cell and atoms, written as POSCAR:
```
NdErTlIn
1.0
0.000 3.823 3.823
3.823 0.000 3.823
3.823 3.823 0.000
Nd Er Tl In
1 1 1 1
Cartesian
0.000 0.000 0.000
3.823 3.823 3.823
5.734 5.734 5.734
1.911 1.911 1.911
```

Properties
Total magnetic moment, μB per atom: 0.000
Energy relative to the elements, eV per atom: -0.407
Crystal system: cubic
Symmetry: F-43m

An optimized crystal structure of Nd3Er3TlIn2. Source: Alexandria, functional PBE-GGA.

Cell and atoms, written as POSCAR:
```
Nd3Er3TlIn2
1.0
9.092 0.000 0.000
-4.546 7.874 0.000
0.000 0.000 3.760
Nd Er Tl In
3 3 1 2
Cartesian
-3.230 5.595 0.000
1.316 2.279 0.000
6.460 0.000 0.000
-1.742 3.018 1.880
3.484 0.000 1.880
2.804 4.856 1.880
0.000 0.000 1.880
0.000 5.249 0.000
4.546 2.625 0.000
```

Properties
Total magnetic moment, μB per atom: 0.014
Energy relative to the elements, eV per atom: -0.265
Crystal system: hexagonal
Symmetry: P-62m

An optimized crystal structure of Nd2Er6Tm3In. Source: Alexandria, functional PBE-GGA.

Cell and atoms, written as POSCAR:
```
Nd2Er6Tm3In
1.0
3.020 -5.235 0.000
3.020 5.235 0.000
-2.018 0.000 11.459
Nd Er Tm In
2 6 3 1
Cartesian
3.020 3.496 0.000
3.020 -3.496 0.000
0.017 1.716 8.578
1.035 0.000 2.891
0.017 -1.716 8.578
4.006 1.716 2.880
2.987 0.000 8.567
4.006 -1.716 2.880
-1.009 0.000 5.729
2.011 1.743 5.729
2.011 -1.743 5.729
3.020 0.000 0.000
```

Properties
Total magnetic moment, μB per atom: 0.000
Energy relative to the elements, eV per atom: -0.053
Crystal system: monoclinic
Symmetry: C2/m

An optimized crystal structure of NdYErIn. Source: Alexandria, functional PBE-GGA.

Cell and atoms, written as POSCAR:
```
NdYErIn
1.0
4.852 0.000 0.000
0.000 4.886 0.000
0.000 0.000 4.933
Nd Y Er In
1 1 1 1
Cartesian
0.000 0.000 0.000
2.426 0.000 2.466
2.426 2.443 0.000
0.000 2.443 2.466
```

Properties
Total magnetic moment, μB per atom: 0.078
Energy relative to the elements, eV per atom: -0.264
Crystal system: orthorhombic
Symmetry: Pmmm
Distance to the lowest polymorph of the same formula, eV per atom: 0.000

An optimized crystal structure of Nd2YErIn2. Source: Alexandria, functional PBE-GGA.

Cell and atoms, written as POSCAR:
```
Nd2YErIn2
1.0
5.246 0.000 0.000
0.000 9.991 0.000
0.000 0.000 6.825
Nd Y Er In
4 2 2 4
Cartesian
0.000 0.392 0.000
0.000 9.600 3.412
2.623 1.809 1.893
2.623 8.183 5.306
2.623 4.614 6.344
2.623 5.377 2.932
0.000 3.215 4.442
0.000 6.776 1.030
0.000 3.657 1.217
0.000 6.335 4.629
2.623 1.528 5.137
2.623 8.463 1.725
```

Properties
Total magnetic moment, μB per atom: 0.000
Energy relative to the elements, eV per atom: -0.358
Crystal system: orthorhombic
Symmetry: Pmc2_1

An optimized crystal structure of Nd2Y2Er2In. Source: Alexandria, functional PBE-GGA.

Cell and atoms, written as POSCAR:
```
Nd2Y2Er2In
1.0
5.894 -1.764 0.000
5.894 1.764 0.000
-4.561 0.000 10.749
Nd Y Er In
2 2 2 1
Cartesian
-0.805 0.000 2.734
8.031 0.000 8.016
-0.616 0.000 6.294
7.842 0.000 4.456
2.332 0.000 1.404
4.894 0.000 9.346
5.894 0.000 0.000
```

Properties
Total magnetic moment, μB per atom: 0.000
Energy relative to the elements, eV per atom: -0.026
Crystal system: monoclinic
Symmetry: C2/m

An optimized crystal structure of NdYErIn. Source: Alexandria, functional PBE-GGA.

Cell and atoms, written as POSCAR:
```
NdYErIn
1.0
0.000 3.890 3.890
3.890 0.000 3.890
3.890 3.890 0.000
Nd Y Er In
1 1 1 1
Cartesian
0.000 0.000 0.000
3.890 3.890 3.890
5.835 5.835 5.835
1.945 1.945 1.945
```

Properties
Total magnetic moment, μB per atom: 0.241
Energy relative to the elements, eV per atom: -0.154
Crystal system: cubic
Symmetry: F-43m
Distance to the lowest polymorph of the same formula, eV per atom: 0.111

An optimized crystal structure of NdErZnIn. Source: Alexandria, functional PBE-GGA.

Cell and atoms, written as POSCAR:
```
NdErZnIn
1.0
0.000 3.727 3.727
3.727 0.000 3.727
3.727 3.727 0.000
Nd Er Zn In
1 1 1 1
Cartesian
0.000 0.000 0.000
3.727 3.727 3.727
1.864 1.864 1.864
5.591 5.591 5.591
```

Properties
Total magnetic moment, μB per atom: 0.000
Energy relative to the elements, eV per atom: -0.381
Crystal system: cubic
Symmetry: F-43m
Distance to the lowest polymorph of the same formula, eV per atom: 0.028

An optimized crystal structure of NdEr2Zn2In2. Source: Alexandria, functional PBE-GGA.

Cell and atoms, written as POSCAR:
```
NdEr2Zn2In2
1.0
2.365 1.365 9.119
-2.365 1.365 9.119
0.000 -2.730 9.119
Nd Er Zn In
1 2 2 2
Cartesian
0.000 0.000 0.000
0.000 0.000 3.532
0.000 0.000 23.826
0.000 0.000 11.129
0.000 0.000 16.228
0.000 0.000 7.091
0.000 0.000 20.267
```

Properties
Total magnetic moment, μB per atom: 0.000
Energy relative to the elements, eV per atom: -0.281
Crystal system: trigonal
Symmetry: R-3m

An optimized crystal structure of NdErZnIn. Source: Alexandria, functional PBE-GGA.

Cell and atoms, written as POSCAR:
```
NdErZnIn
1.0
3.677 0.000 0.000
0.000 3.677 0.000
0.000 0.000 7.558
Nd Er Zn In
1 1 1 1
Cartesian
0.000 0.000 0.000
0.000 0.000 3.482
1.838 1.838 1.909
1.838 1.838 5.414
```

Properties
Total magnetic moment, μB per atom: 0.000
Energy relative to the elements, eV per atom: -0.409
Crystal system: tetragonal
Symmetry: P4mm
Distance to the lowest polymorph of the same formula, eV per atom: 0.000

An optimized crystal structure of ErInNi. Source: Alexandria, functional PBE-GGA.

Cell and atoms, written as POSCAR:
```
ErInNi
1.0
3.878 -2.245 0.000
3.878 2.245 0.000
-2.606 0.000 7.478
Er In Ni
2 2 2
Cartesian
1.286 0.000 1.776
3.863 0.000 5.701
-1.303 0.000 3.739
3.878 0.000 0.000
1.282 0.000 4.493
3.866 0.000 2.985
```

Properties
Total magnetic moment, μB per atom: 0.000
Energy relative to the elements, eV per atom: -0.359
Crystal system: monoclinic
Symmetry: C2/m

| no. | electronic total energy (eV per atom) | volume (Å³/atom) |
| --- | --- | --- |
| 1 | -3.97 | 28.6 |
| 2 | -4.02 | 27.9 |
| 3 | -4.25 | 29.9 |
| 4 | -4.48 | 30.2 |
| 5 | -4.90 | 29.2 |
| 6 | -4.70 | 29.8 |
| 7 | -4.93 | 31.9 |
| 8 | -4.79 | 29.4 |
| 9 | -3.72 | 25.9 |
| 10 | -3.41 | 25.2 |
| 11 | -3.74 | 25.5 |
| 12 | -4.72 | 21.7 |